Material: LiLuPaFe
Method: DFT, GGA-PBE
State: relaxed

Cell: 4.7517 4.7517 4.7517 Å, 60.00 60.00 60.00°
With the nearest neighbours (Å) after each atom.
Fractional coordinates of all 4 atoms:
Pa (0.7500, 0.7500, 0.7500)  4 Fe 2.91, 4 Li 2.91
Fe (0.5000, 0.5000, 0.5000)  4 Lu 2.91, 4 Pa 2.91
Lu (0.2500, 0.2500, 0.2500)  4 Fe 2.91, 4 Li 2.91
Li (0.0000, 0.0000, 0.0000)  4 Pa 2.91, 4 Lu 2.91

Theoretical density: 10.26 g/cm³
Total energy: -5.949 eV/atom
Energy of formation from the pure elements: 0.6 eV/f.u.
Crystal system: cubic

***

Material: LiLuPuFe
Method: DFT, GGA-PBE
State: relaxed

Cell: 4.7941 4.7941 4.7941 Å, 60.00 60.00 60.00°
With the nearest neighbours (Å) after each atom.
Fractional coordinates of all 4 atoms:
Fe (0.5000, 0.5000, 0.5000)  4 Pu 2.94, 4 Lu 2.94
Pu (0.7500, 0.7500, 0.7500)  4 Li 2.94, 4 Fe 2.94
Lu (0.2500, 0.2500, 0.2500)  4 Li 2.94, 4 Fe 2.94
Li (0.0000, 0.0000, 0.0000)  4 Pu 2.94, 4 Lu 2.94

Theoretical density: 10.27 g/cm³
Total energy: -7.157 eV/atom
Energy of formation from the pure elements: 0.6 eV/f.u.
Crystal system: cubic

***

Material: LiSmLuFe
Method: DFT, GGA-PBE
State: relaxed

Cell: 4.8435 4.8435 4.8435 Å, 60.00 60.00 60.00°
With the nearest neighbours (Å) after each atom.
Fractional coordinates of all 4 atoms:
Sm (0.2500, 0.2500, 0.2500)  4 Li 2.97, 4 Fe 2.97
Li (0.0000, 0.0000, 0.0000)  4 Lu 2.97, 4 Sm 2.97
Lu (0.7500, 0.7500, 0.7500)  4 Fe 2.97, 4 Li 2.97
Fe (0.5000, 0.5000, 0.5000)  4 Sm 2.97, 4 Lu 2.97

Theoretical density: 8.02 g/cm³
Total energy: -4.808 eV/atom
Energy of formation from the pure elements: 0.4 eV/f.u.
Crystal system: cubic

***

Material: LiLuFeSn
Method: DFT, GGA-PBE
State: relaxed

Cell: 4.6263 4.6263 4.6263 Å, 60.00 60.00 60.00°
With the nearest neighbours (Å) after each atom.
Fractional coordinates of all 4 atoms:
Fe (0.7500, 0.7500, 0.7500)  4 Sn 2.83, 4 Lu 2.83
Sn (0.0000, 0.0000, 0.0000)  4 Li 2.83, 4 Fe 2.83
Lu (0.5000, 0.5000, 0.5000)  4 Fe 2.83, 4 Li 2.83
Li (0.2500, 0.2500, 0.2500)  4 Lu 2.83, 4 Sn 2.83

Theoretical density: 8.45 g/cm³
Total energy: -4.947 eV/atom
Energy of formation from the pure elements: -0.9 eV/f.u.
Crystal system: cubic

***

Material: LiLuTaFe
Method: DFT, GGA-PBE
State: relaxed

Cell: 4.5114 4.5114 4.5114 Å, 60.00 60.00 60.00°
With the nearest neighbours (Å) after each atom.
Fractional coordinates of all 4 atoms:
Fe (0.5000, 0.5000, 0.5000)  4 Lu 2.76, 4 Ta 2.76
Lu (0.2500, 0.2500, 0.2500)  4 Fe 2.76, 4 Li 2.76
Ta (0.7500, 0.7500, 0.7500)  4 Fe 2.76, 4 Li 2.76
Li (0.0000, 0.0000, 0.0000)  4 Ta 2.76, 4 Lu 2.76

Theoretical density: 10.71 g/cm³
Total energy: -6.535 eV/atom
Energy of formation from the pure elements: 0.6 eV/f.u.
Crystal system: cubic

***

Material: LiLuThFe
Method: DFT, GGA-PBE
State: relaxed

Cell: 4.8741 4.8741 4.8741 Å, 60.00 60.00 60.00°
With the nearest neighbours (Å) after each atom.
Fractional coordinates of all 4 atoms:
Th (0.7500, 0.7500, 0.7500)  4 Fe 2.98, 4 Li 2.98
Lu (0.2500, 0.2500, 0.2500)  4 Fe 2.98, 4 Li 2.98
Li (0.0000, 0.0000, 0.0000)  4 Lu 2.98, 4 Th 2.98
Fe (0.5000, 0.5000, 0.5000)  4 Th 2.98, 4 Lu 2.98

Theoretical density: 9.53 g/cm³
Total energy: -5.525 eV/atom
Energy of formation from the pure elements: 0.2 eV/f.u.
Crystal system: cubic

***

Material: LiLuTiFe
Method: DFT, GGA-PBE
State: relaxed

Cell: 4.4972 4.4972 4.4972 Å, 60.00 60.00 60.00°
With the nearest neighbours (Å) after each atom.
Fractional coordinates of all 4 atoms:
Li (0.2500, 0.2500, 0.2500)  4 Ti 2.75, 4 Lu 2.75
Fe (0.7500, 0.7500, 0.7500)  4 Ti 2.75, 4 Lu 2.75
Ti (0.5000, 0.5000, 0.5000)  4 Li 2.75, 4 Fe 2.75
Lu (0.0000, 0.0000, 0.0000)  4 Fe 2.75, 4 Li 2.75

Theoretical density: 7.37 g/cm³
Total energy: -5.640 eV/atom
Energy of formation from the pure elements: 0.2 eV/f.u.
Crystal system: cubic

***

Material: LiLuZrFe
Method: DFT, GGA-PBE
State: relaxed

Cell: 4.6402 4.6402 4.6402 Å, 60.00 60.00 60.00°
With the nearest neighbours (Å) after each atom.
Fractional coordinates of all 4 atoms:
Li (0.7500, 0.7500, 0.7500)  4 Zr 2.84, 4 Lu 2.84
Zr (0.0000, 0.0000, 0.0000)  4 Fe 2.84, 4 Li 2.84
Fe (0.2500, 0.2500, 0.2500)  4 Zr 2.84, 4 Lu 2.84
Lu (0.5000, 0.5000, 0.5000)  4 Li 2.84, 4 Fe 2.84

Theoretical density: 7.73 g/cm³
Total energy: -5.857 eV/atom
Energy of formation from the pure elements: 0.0 eV/f.u.
Crystal system: cubic

***

Material: LiMgFe2
Method: DFT, GGA-PBE
State: relaxed

Cell: 3.0144 3.0144 6.7175 Å, 90.00 90.00 90.00°
With the nearest neighbours (Å) after each atom.
Fractional coordinates of all 4 atoms:
Fe (0.0000, 0.0000, 0.0493)  4 Fe 2.38
Li (0.0000, 0.0000, 0.4622)  5 Fe 2.73-2.77, 4 Li 3.01, 4 Mg 3.02
Fe (0.5000, 0.5000, 0.2084)  4 Fe 2.38
Mg (0.5000, 0.5000, 0.7801)  5 Fe 2.79-2.88, 4 Mg 3.01, 4 Li 3.02

Theoretical density: 3.89 g/cm³
Total energy: -4.918 eV/atom
Energy of formation from the pure elements: 0.8 eV/f.u.
Crystal system: tetragonal

***

Material: Li2MgFe
Method: DFT, GGA-PBE
State: relaxed

Cell: 9.8068 9.8068 9.8068 Å, 16.29 16.29 16.29°
With the nearest neighbours (Å) after each atom.
Fractional coordinates of all 4 atoms:
Fe (0.7500, 0.7500, 0.7500)  6 Li 2.74, 6 Fe 2.78
Li (0.4931, 0.4931, 0.4931)  3 Fe 2.74, 6 Li 2.78
Mg (0.2500, 0.2500, 0.2500)  6 Mg 2.78, 6 Li 3.07
Li (0.0069, 0.0069, 0.0069)  3 Fe 2.74, 6 Li 2.78

Theoretical density: 2.41 g/cm³
Total energy: -3.236 eV/atom
Energy of formation from the pure elements: 0.9 eV/f.u.
Crystal system: trigonal

***

Material: LiMgFe2
Method: DFT, GGA-PBE
State: relaxed

Cell: 2.5741 2.5741 8.9450 Å, 90.00 90.00 110.32°
With the nearest neighbours (Å) after each atom.
Fractional coordinates of all 4 atoms:
Fe (0.0000, 0.0000, 0.0005)  4 Fe 2.57, 2 Li 2.67, 2 Mg 2.68
Mg (0.5000, 0.5000, 0.7500)  4 Mg 2.57, 4 Fe 2.68
Fe (0.0000, 0.0000, 0.4995)  4 Fe 2.57, 2 Li 2.67, 2 Mg 2.68
Li (0.5000, 0.5000, 0.2500)  4 Li 2.57, 4 Fe 2.67

Theoretical density: 4.27 g/cm³
Total energy: -4.764 eV/atom
Energy of formation from the pure elements: 1.4 eV/f.u.
Crystal system: orthorhombic

***

Material: Li2MgFe
Method: DFT, GGA-PBE
State: relaxed

Cell: 2.8311 4.7180 4.8618 Å, 90.00 90.00 90.00°
With the nearest neighbours (Å) after each atom.
Fractional coordinates of all 4 atoms:
Mg (0.5000, 0.0000, 0.5000)  4 Fe 2.75, 4 Li 2.81, 2 Mg 2.83
Li (0.0000, 0.0000, 0.0000)  6 Li 2.75-2.83, 4 Mg 2.81
Fe (0.0000, 0.5000, 0.5000)  4 Mg 2.75, 4 Li 2.81, 2 Fe 2.83
Li (0.5000, 0.5000, 0.0000)  6 Li 2.75-2.83, 4 Fe 2.81

Theoretical density: 2.40 g/cm³
Total energy: -3.198 eV/atom
Energy of formation from the pure elements: 1.1 eV/f.u.
Crystal system: orthorhombic

***

Material: LiMgFe2
Method: DFT, GGA-PBE
State: relaxed

Cell: 4.9595 4.9595 4.9595 Å, 137.86 137.86 61.12°
With the nearest neighbours (Å) after each atom.
Fractional coordinates of all 4 atoms:
Li (0.2500, 0.7500, 0.5000)  4 Mg 2.52, 8 Fe 2.78
Mg (0.7500, 0.2500, 0.5000)  4 Li 2.52, 8 Fe 2.78
Fe (0.0000, 0.0000, 0.0000)  4 Fe 2.52, 4 Li 2.78, 4 Mg 2.78
Fe (0.5000, 0.5000, 0.0000)  4 Fe 2.52, 4 Mg 2.78, 4 Li 2.78

Theoretical density: 4.37 g/cm³
Total energy: -4.836 eV/atom
Energy of formation from the pure elements: 1.1 eV/f.u.
Crystal system: tetragonal

***

Material: Li2MgFe
Method: DFT, GGA-PBE
State: relaxed

Cell: 4.9098 4.9098 4.9098 Å, 131.50 131.50 71.02°
With the nearest neighbours (Å) after each atom.
Fractional coordinates of all 4 atoms:
Li (0.5000, 0.5000, 0.0000)  4 Fe 2.84, 4 Mg 2.84, 4 Li 2.85
Mg (0.2500, 0.7500, 0.5000)  8 Li 2.84, 4 Fe 2.85
Fe (0.7500, 0.2500, 0.5000)  8 Li 2.84, 4 Mg 2.85
Li (0.0000, 0.0000, 0.0000)  4 Fe 2.84, 4 Mg 2.84, 4 Li 2.85

Theoretical density: 2.40 g/cm³
Total energy: -3.142 eV/atom
Energy of formation from the pure elements: 1.3 eV/f.u.
Crystal system: tetragonal

***

Material: Li2MgFe
Method: DFT, GGA-PBE
State: relaxed

Cell: 4.8783 4.8783 5.2237 Å, 82.61 82.61 32.13°
With the nearest neighbours (Å) after each atom.
Fractional coordinates of all 4 atoms:
Li (0.7494, 0.7494, 0.7653)  5 Li 2.70-2.87, 4 Fe 2.90-2.98, 3 Mg 2.91-2.98
Li (0.9950, 0.9950, 0.0018)  5 Li 2.70-2.87, 2 Mg 2.83, 3 Fe 2.84-2.89
Fe (0.2502, 0.2502, 0.2570)  2 Fe 2.70, 3 Mg 2.77-2.79, 7 Li 2.84-2.98
Mg (0.5055, 0.5055, 0.4758)  2 Mg 2.70, 3 Fe 2.77-2.79, 5 Li 2.83-2.98

Theoretical density: 2.38 g/cm³
Total energy: -3.188 eV/atom
Energy of formation from the pure elements: 1.1 eV/f.u.
Crystal system: monoclinic

***

Material: LiMgFe
Method: DFT, GGA-PBE
State: relaxed

Cell: 4.9109 4.9109 4.9109 Å, 147.97 131.14 59.62°
With the nearest neighbours (Å) after each atom.
Fractional coordinates of all 3 atoms:
Li (0.3384, 0.3384, 0.0000)  2 Li 2.71, 5 Mg 2.76-2.87, 5 Fe 2.80-2.89
Fe (0.9992, 0.9992, 0.0000)  2 Fe 2.71, 5 Li 2.80-2.89, 5 Mg 2.81-2.87
Mg (0.6625, 0.6625, 0.0000)  2 Mg 2.71, 5 Li 2.76-2.87, 5 Fe 2.81-2.87

Theoretical density: 3.08 g/cm³
Total energy: -3.672 eV/atom
Energy of formation from the pure elements: 1.0 eV/f.u.
Crystal system: orthorhombic

***

Material: Li2MgFe
Method: DFT, GGA-PBE
State: relaxed

Cell: 2.8082 2.8082 8.3760 Å, 90.00 90.00 90.00°
With the nearest neighbours (Å) after each atom.
Fractional coordinates of all 4 atoms:
Li (0.5000, 0.5000, 0.2432)  8 Li 2.81-3.00, 4 Mg 3.10
Fe (0.5000, 0.5000, 0.7554)  4 Li 2.70, 4 Mg 2.76, 4 Fe 2.81
Li (0.0000, 0.0000, 0.9742)  4 Fe 2.70, 8 Li 2.81-3.00
Mg (0.0000, 0.0000, 0.5272)  4 Fe 2.76, 4 Mg 2.81

Theoretical density: 2.36 g/cm³
Total energy: -3.269 eV/atom
Energy of formation from the pure elements: 0.8 eV/f.u.
Crystal system: tetragonal

***

Material: LiMgFe2
Method: DFT, GGA-PBE
State: relaxed

Cell: 2.5852 4.2136 5.0565 Å, 90.00 90.00 90.00°
With the nearest neighbours (Å) after each atom.
Fractional coordinates of all 4 atoms:
Mg (0.5000, 0.5000, 0.7500)  2 Li 2.53, 2 Mg 2.59, 8 Fe 2.79
Fe (0.0000, 0.0000, 0.0057)  4 Fe 2.47-2.59, 4 Li 2.76
Fe (0.0000, 0.0000, 0.4943)  4 Fe 2.47-2.59, 4 Li 2.76
Li (0.5000, 0.5000, 0.2500)  2 Mg 2.53, 2 Li 2.59, 8 Fe 2.76

Theoretical density: 4.31 g/cm³
Total energy: -4.793 eV/atom
Energy of formation from the pure elements: 1.3 eV/f.u.
Crystal system: orthorhombic

***

Material: LiMgFe2
Method: DFT, GGA-PBE
State: relaxed

Cell: 9.1883 9.1883 9.1883 Å, 16.60 16.60 16.60°
With the nearest neighbours (Å) after each atom.
Fractional coordinates of all 4 atoms:
Fe (0.5001, 0.5001, 0.5001)  6 Fe 2.65, 3 Li 2.73, 3 Mg 2.74
Li (0.2500, 0.2500, 0.2500)  6 Li 2.65, 6 Fe 2.73
Fe (0.9999, 0.9999, 0.9999)  6 Fe 2.65, 3 Li 2.73, 3 Mg 2.74
Mg (0.7500, 0.7500, 0.7500)  6 Mg 2.65, 6 Fe 2.74

Theoretical density: 4.30 g/cm³
Total energy: -4.750 eV/atom
Energy of formation from the pure elements: 1.4 eV/f.u.
Crystal system: trigonal

***

Material: LiMgFe
Method: DFT, GGA-PBE
State: relaxed

Cell: 4.2376 4.2376 4.2376 Å, 60.00 60.00 60.00°
With the nearest neighbours (Å) after each atom.
Fractional coordinates of all 3 atoms:
Mg (0.0000, 0.0000, 0.0000)  4 Li 2.59
Fe (0.5000, 0.5000, 0.5000)  4 Li 2.59
Li (0.7500, 0.7500, 0.7500)  4 Mg 2.59, 4 Fe 2.59

Theoretical density: 2.69 g/cm³
Total energy: -3.241 eV/atom
Energy of formation from the pure elements: 2.2 eV/f.u.
Crystal system: cubic